PBE with a Hubbard U K3Nb4Mo4P12O48, relaxed; magnetization = 11.1 μB/f.u.; SG = No. 6; E_tot = -7.52 eV/atom
1.0
8.967 0.000 0.000
0.000 12.680 0.000
-0.033 0.000 9.348
K Nb Mo P O
3 4 4 12 48
Direct
0.000 0.000 0.000
0.013 0.500 0.196
0.295 0.500 0.690
0.396 0.150 0.889
0.396 0.850 0.889
0.906 0.149 0.391
0.906 0.851 0.391
0.399 0.354 0.335
0.399 0.646 0.335
0.903 0.354 0.835
0.903 0.646 0.835
0.119 0.248 0.118
0.119 0.752 0.118
0.182 0.249 0.617
0.182 0.751 0.617
0.547 0.385 0.990
0.547 0.615 0.990
0.556 0.118 0.227
0.556 0.882 0.227
0.745 0.120 0.726
0.745 0.880 0.726
0.754 0.385 0.488
0.754 0.615 0.488
0.009 0.311 0.028
0.009 0.689 0.028
0.031 0.167 0.214
0.031 0.833 0.214
0.075 0.180 0.523
0.075 0.820 0.523
0.096 0.327 0.710
0.096 0.673 0.710
0.207 0.324 0.211
0.207 0.676 0.211
0.220 0.176 0.022
0.220 0.824 0.022
0.268 0.171 0.719
0.268 0.829 0.719
0.293 0.310 0.528
0.293 0.690 0.528
0.329 0.500 0.355
0.359 0.000 0.891
0.446 0.310 0.902
0.446 0.690 0.902
0.457 0.188 0.315
0.457 0.812 0.315
0.489 0.500 0.932
0.505 0.000 0.269
0.522 0.380 0.149
0.522 0.620 0.149
0.534 0.130 0.064
0.534 0.870 0.064
0.579 0.131 0.765
0.579 0.869 0.765
0.590 0.378 0.459
0.590 0.622 0.459
0.711 0.375 0.957
0.711 0.625 0.957
0.724 0.127 0.262
0.724 0.873 0.262
0.764 0.132 0.565
0.764 0.868 0.565
0.783 0.378 0.647
0.783 0.622 0.647
0.793 0.000 0.770
0.814 0.500 0.433
0.851 0.184 0.817
0.851 0.310 0.396
0.851 0.690 0.396
0.851 0.816 0.817
0.940 0.000 0.391
0.971 0.500 0.856